1.
PBE Ca4Zr, relaxed; crystal system = cubic; polymorph energy (0 for the lowest one) = 0 meV/atom; formation energy = 0.64 eV/atom
1.0
1.800 -6.075 -1.597
2.837 1.702 5.634
-6.495 0.242 0.672
Ca Zr
4 1
Cartesian
0.900 -3.037 -0.798
-0.929 -2.065 2.355
1.419 0.851 2.817
-3.247 0.121 0.336
0.000 0.000 0.000

***

2.
PBE CaZr, relaxed; crystal system = tetragonal; polymorph energy (0 for the lowest one) = 0 meV/atom; formation energy = 0.19 eV/atom
1.0
3.313 0.000 0.000
0.000 3.313 0.000
0.000 0.000 11.058
Ca Zr
2 2
Cartesian
0.000 1.656 9.427
1.656 0.000 1.631
0.000 1.656 4.519
1.656 0.000 6.539

***

3.
PBE CaZr, relaxed; crystal system = orthorhombic; polymorph energy (0 for the lowest one) = 468 meV/atom; formation energy = 0.66 eV/atom
1.0
-11.785 -1.265 2.220
0.527 -9.134 -2.408
1.736 -2.025 8.062
Ca Zr
16 16
Cartesian
0.092 -1.594 -0.420
0.435 -7.540 -1.987
-2.209 -6.079 1.185
-2.025 -9.268 0.345
1.224 -7.174 2.407
1.040 -3.985 3.247
-1.604 -2.524 6.420
-1.420 -5.713 5.579
-4.932 -3.239 4.721
-4.589 -9.185 3.154
-7.233 -7.724 6.326
-7.049 -10.912 5.486
-5.537 -6.794 -0.514
-5.721 -3.605 0.327
-8.365 -2.144 3.499
-8.181 -5.333 2.658
0.605 -0.705 2.809
1.131 -1.319 5.253
-0.986 -8.992 6.018
-1.512 -8.378 3.573
1.736 -6.285 5.636
0.527 -4.874 0.019
-2.117 -3.413 3.191
-2.644 -2.799 0.746
-4.419 -2.350 7.949
-5.629 -0.940 2.332
-7.746 -8.613 3.097
-8.272 -7.999 0.653
-5.024 -5.905 2.715
-4.497 -6.519 5.160
-7.141 -5.058 8.332
-7.668 -4.444 5.887

***

4.
PBE CaZr, relaxed; crystal system = orthorhombic; polymorph energy (0 for the lowest one) = 162 meV/atom; formation energy = 0.35 eV/atom
1.0
3.345 0.000 0.000
0.000 5.147 0.000
0.000 0.000 6.885
Ca Zr
2 2
Cartesian
0.000 0.000 0.012
0.000 2.574 2.283
1.673 0.000 3.960
1.673 2.574 5.220

***

5.
PBE CaZr, relaxed; crystal system = tetragonal; polymorph energy (0 for the lowest one) = 263 meV/atom; formation energy = 0.45 eV/atom
1.0
-0.357 -0.253 3.242
-3.121 -0.889 -0.413
1.473 -5.062 -0.233
Ca Zr
1 1
Cartesian
0.000 0.000 0.000
-1.002 -3.102 1.298

***

6.
PBE CaZr, relaxed; crystal system = trigonal; polymorph energy (0 for the lowest one) = 28 meV/atom; formation energy = 0.22 eV/atom
1.0
3.470 0.000 0.000
-1.735 3.005 0.000
0.000 0.000 11.436
Ca Zr
2 2
Cartesian
0.000 0.000 11.199
1.735 1.002 3.095
0.000 0.000 5.986
1.735 1.002 8.309

***

7.
PBE CaZr, relaxed; crystal system = tetragonal; polymorph energy (0 for the lowest one) = 251 meV/atom; formation energy = 0.44 eV/atom
1.0
-4.119 3.981 -0.598
-3.697 -2.301 -3.769
2.110 -2.301 4.840
Ca Zr
2 2
Cartesian
0.000 0.000 0.000
-2.748 -1.881 -0.557
-3.908 0.840 -2.184
-2.959 1.260 1.029

***

8.
PBE CaZr3, relaxed; crystal system = tetragonal; formation energy = 0.31 eV/atom
1.0
-0.957 -0.238 -5.588
4.622 -2.067 -2.561
-3.021 -1.912 4.406
Ca Zr
1 3
Cartesian
-1.989 -1.075 -0.591
0.916 -0.576 -2.035
2.750 -1.729 -6.113
0.801 -1.989 0.923

***

9.
PBE CaZr, relaxed; crystal system = hexagonal; polymorph energy (0 for the lowest one) = 340 meV/atom; formation energy = 0.53 eV/atom
1.0
-6.464 8.549 3.658
4.116 -7.544 7.375
2.687 1.860 0.403
Ca Zr
6 6
Cartesian
-3.990 6.508 3.308
0.613 1.655 8.457
-2.532 3.231 8.706
4.330 -3.644 8.127
-0.274 1.209 2.978
2.871 -0.367 2.729
-3.210 4.763 6.160
2.583 -1.150 8.268
-1.342 2.171 5.665
3.549 -1.899 5.275
-2.244 4.015 3.167
1.682 0.693 5.770

***

10.
PBE Ca3Zr, relaxed; crystal system = orthorhombic; polymorph energy (0 for the lowest one) = 73 meV/atom; formation energy = 0.33 eV/atom
1.0
-2.208 2.618 -0.972
-4.089 -2.953 1.337
0.253 2.764 6.875
Ca Zr
3 1
Cartesian
-2.954 1.965 5.486
0.126 1.382 3.437
-3.091 0.465 1.755
0.000 0.000 0.000

***

11.
PBE CaZr3, relaxed; crystal system = tetragonal; formation energy = 0.17 eV/atom
1.0
3.236 0.004 0.000
-0.005 3.236 0.000
0.000 0.000 10.121
Ca Zr
1 3
Cartesian
0.000 0.000 0.000
1.616 1.620 7.218
0.000 0.000 5.061
1.616 1.620 2.903

***

12.
PBE Ca3Zr, relaxed; crystal system = cubic; polymorph energy (0 for the lowest one) = 889 meV/atom; formation energy = 1.15 eV/atom
1.0
6.318 0.000 0.000
0.000 6.318 0.000
0.000 0.000 6.318
Ca Zr
3 1
Cartesian
3.159 0.000 0.000
0.000 3.159 0.000
0.000 0.000 3.159
0.000 0.000 0.000

***

13.
PBE Ca3Zr, relaxed; crystal system = tetragonal; polymorph energy (0 for the lowest one) = 129 meV/atom; formation energy = 0.39 eV/atom
1.0
-1.892 1.381 -5.494
-5.532 -1.697 1.478
-0.778 3.549 1.160
Ca Zr
3 1
Cartesian
0.000 0.000 0.000
-1.335 2.465 -2.167
-3.712 -0.158 -2.008
-3.155 0.926 1.319

***

14.
PBE Ca4Zr, relaxed; crystal system = cubic; polymorph energy (0 for the lowest one) = 12 meV/atom; formation energy = 0.66 eV/atom
1.0
-3.278 4.697 -1.021
-3.183 -3.047 -3.798
-3.601 -1.582 4.287
Ca Zr
4 1
Cartesian
0.000 0.000 0.000
-3.440 1.557 1.633
-3.392 -2.315 0.244
-3.231 0.825 -2.410
-5.031 0.034 -0.266

***

15.
PBE Ca3Zr2, relaxed; crystal system = orthorhombic; formation energy = 0.48 eV/atom
1.0
0.000 6.215 9.115
2.777 0.000 9.115
2.777 6.215 0.000
Ca Zr
6 4
Cartesian
3.256 6.725 7.210
3.256 5.704 11.020
4.644 9.833 15.577
4.644 8.812 11.767
0.405 6.215 9.115
1.793 3.107 4.557
2.096 3.275 8.551
2.096 9.154 9.678
3.484 6.383 14.236
3.484 6.047 3.994

***

16.
PBE CaZr3, relaxed; crystal system = hexagonal; formation energy = 0.17 eV/atom
1.0
-1.701 2.390 1.542
-1.231 -3.073 -0.155
5.016 -2.482 9.377
Ca Zr
1 3
Cartesian
0.000 0.000 0.000
2.508 -1.241 4.688
-0.176 -0.108 3.533
2.104 -1.236 7.797

***

17.
PBE CaZr, relaxed; crystal system = hexagonal; polymorph energy (0 for the lowest one) = 191 meV/atom; formation energy = 0.38 eV/atom
1.0
-1.526 -2.688 1.202
2.967 -0.289 -1.453
2.648 0.839 5.239
Ca Zr
1 1
Cartesian
0.000 0.000 0.000
1.295 -1.468 2.937

***

18.
PBE CaZr, relaxed; crystal system = hexagonal; polymorph energy (0 for the lowest one) = 187 meV/atom; formation energy = 0.38 eV/atom
1.0
-2.068 1.304 2.227
2.909 -1.238 0.971
5.049 10.646 -1.546
Ca Zr
2 2
Cartesian
0.000 0.000 0.000
2.525 5.323 -0.773
2.512 2.271 1.003
3.378 8.441 0.649

***

19.
PBE CaZr, relaxed; crystal system = cubic; polymorph energy (0 for the lowest one) = 2192 meV/atom; formation energy = 2.38 eV/atom
1.0
9.293 0.000 0.000
0.000 9.293 0.000
0.000 0.000 9.293
Ca Zr
6 6
Cartesian
2.323 0.000 4.646
6.970 0.000 4.646
0.000 4.646 2.323
0.000 4.646 6.970
4.646 2.323 0.000
4.646 6.970 0.000
2.323 4.646 0.000
6.970 4.646 0.000
4.646 0.000 2.323
4.646 0.000 6.970
0.000 2.323 4.646
0.000 6.970 4.646

***

20.
PBE Ca4Zr5, relaxed; crystal system = tetragonal; formation energy = 0.29 eV/atom
1.0
-5.152 5.152 2.442
5.152 -5.152 2.442
5.152 5.152 -2.442
Ca Zr
4 5
Cartesian
0.000 7.032 0.000
0.000 3.271 0.000
3.271 0.000 0.000
7.032 0.000 0.000
0.000 0.000 0.000
-1.510 1.510 2.442
1.510 -1.510 2.442
3.642 3.642 0.000
1.510 1.510 2.442